(1)
Material: YThTaN3
Method: DFT, PBE-GGA
State: optimized geometry

The structure belongs to space group P2_1/m (No. 11); the cell edges are 7.3329, 3.4781 and 7.8914 Å and the angles 90.00°, 91.11° and 90.00°. Symmetry generates all atoms from Y at (0.1346, 0.2500, 0.3605), Th at (0.3973, 0.7500, 0.6803), Ta at (0.1196, 0.2500, 0.9175), N at (0.1150, 0.2500, 0.6583), N at (0.1808, 0.7500, 0.0365) and N at (0.3741, 0.7500, 0.3900).

The calculation puts the uncorrected formation energy at -6.64 eV/f.u.

(2)
Material: Th2TaZnN5
Method: DFT, PBE-GGA
State: optimized geometry

The structure belongs to space group Cmc2_1 (No. 36); the cell edges are 3.3549, 13.8910 and 10.2713 Å and the angles 90.00°, 90.00° and 90.00°. Symmetry generates all atoms from Th at (0.0000, 0.1117, 0.0000), Th at (0.0000, 0.1299, 0.6136), Ta at (0.0000, 0.2050, 0.3199), Zn at (0.0000, 0.4725, 0.7850), N at (0.0000, 0.0606, 0.3756), N at (0.0000, 0.2851, 0.9641), N at (0.0000, 0.3027, 0.6880), N at (0.0000, 0.3549, 0.3203) and N at (0.0000, 0.4982, 0.0930).

The calculation puts the uncorrected formation energy at -9.98 eV/f.u.

(3)
Material: TaTi5N4
Method: DFT, PBE-GGA
State: optimized geometry

The structure belongs to space group C2/m (No. 12); the cell edges are 12.9819, 3.0445 and 6.1113 Å and the angles 90.00°, 104.80° and 90.00°. Symmetry generates all atoms from Ta at (0.0000, 0.0000, 0.0000), Ti at (0.0000, 0.0000, 0.5000), Ti at (0.1658, 0.5000, 0.8501), Ti at (0.1720, 0.5000, 0.3242), N at (0.0050, 0.5000, 0.2610) and N at (0.1705, 0.0000, 0.0891).

The calculation puts the uncorrected formation energy at -13.39 eV/f.u.